Record 1
A plane-wave DFT calculation with PBE was carried out for InHg2Ir after structural relaxation.

Lattice parameters (Å, degrees): 3.1833 3.1833 28.4457 90.00 90.00 120.00
Space group R-3m (No. 166, hexagonal axes)
Unique sites:
In (0.0000, 0.0000, 0.0000) x3
Hg (0.0000, 0.0000, 0.2427) x6
Ir (0.0000, 0.0000, 0.5000) x3

* magnetization: 0.00 μB per cell
* VASP energy: -0.1941 Ry per atom

Record 2
A plane-wave DFT calculation with PBE was carried out for In3HgIr after structural relaxation.

Lattice parameters (Å, degrees): 8.049 7.416 10.368 90.00 90.00 90.00
Space group Cmcm (No. 63)
Unique sites:
In (0.000, 0.000, 0.000) x4
In (0.196, 0.293, 0.250) x8
Hg (0.000, 0.391, 0.750) x4
Ir (0.000, 0.011, 0.750) x4

* magnetization: 0.00 μB per cell
* VASP energy: -0.2512 Ry per atom

Record 3
A plane-wave DFT calculation with PBE was carried out for In3HgIr after structural relaxation.

Lattice parameters (Å, degrees): 5.540 5.540 18.272 90.00 90.00 90.00
Space group I-4m2 (No. 119)
Unique sites:
In (0.000, 0.000, 0.217) x4
In (0.000, 0.250, 0.623) x8
Hg (0.000, 0.500, 0.036) x4
Ir (0.000, 0.000, 0.500) x2
Ir (0.000, 0.500, 0.750) x2

* magnetization: 0.00 μB per cell
* VASP energy: -0.2483 Ry per atom

Record 4
A plane-wave DFT calculation with PBE was carried out for In3HgIr after structural relaxation.

Lattice parameters (Å, degrees): 4.5460 4.5460 16.0913 90.00 90.00 120.00
Space group P6_3/mmc (No. 194)
Unique sites:
In (0.0000, 0.0000, 0.2500) x2
In (0.3333, 0.6667, 0.0877) x4
Hg (0.0000, 0.0000, 0.0000) x2
Ir (0.3333, 0.6667, 0.2500) x2

* magnetization: 0.00 μB per cell
* VASP energy: -0.2420 Ry per atom